Compound: Ba2VF
Source: Alexandria
Functional: PBE with a Hubbard U
Structure: optimized geometry

* crystal system: cubic
* V: 32.67 Å³/atom
* symmetry: Fm-3m
* raw total energy: -3.558 eV/atom
* offset from the most stable computed form: 40.6 kJ/mol of atoms
* spin magnetization: 5.95 μB per cell

a b c (Å): 5.696 5.696 5.696
angles (deg): 60.00 60.00 60.00
Last column: magnetic moment on the atom in μB.
Atoms (fractional coordinates):
V 0.500 0.500 0.500  3.32
Ba 0.250 0.250 0.250  0.28
Ba 0.750 0.750 0.750  0.28
F 0.000 0.000 0.000  0.06